# 1
A plane-wave DFT calculation with PBE was carried out for an optimized crystal structure of Cu2CI2.

Values from the calculation:
* E_form (uncorrected): 143.94 kJ/mol of atoms
* M_tot: 2.3 μB/cell

The structure in POSCAR format:
```
Cu2CI2
1.0
7.175 0.000 0.000
0.000 7.175 0.000
0.000 0.000 3.846
I C Cu
4 2 4
Direct
0.179 0.679 0.500
0.679 0.821 0.500
0.821 0.321 0.500
0.321 0.179 0.500
0.000 0.000 0.000
0.500 0.500 0.000
0.368 0.868 0.000
0.868 0.632 0.000
0.632 0.132 0.000
0.132 0.368 0.000
```

***

# 2
A plane-wave DFT calculation with PBE was carried out for an optimized crystal structure of Cu2CI2.

Values from the calculation:
* E_form (uncorrected): 93.99 kJ/mol of atoms
* M_tot: 0.0 μB/cell

The structure in POSCAR format:
```
Cu2CI2
1.0
-4.792 0.769 2.106
-2.204 -2.530 -4.090
-3.044 -5.929 1.885
I C Cu
2 1 2
Direct
0.750 0.250 0.500
0.250 0.750 0.500
0.000 0.000 0.000
0.152 0.152 0.695
0.848 0.848 0.305
```

***

# 3
A plane-wave DFT calculation with PBE was carried out for an optimized crystal structure of La4CuCI2.

Values from the calculation:
* E_form (uncorrected): -58.26 kJ/mol of atoms
* M_tot: 0.0 μB/cell

The structure in POSCAR format:
```
La4CuCI2
1.0
-1.639 -3.711 0.423
5.527 -1.932 4.470
-5.933 3.172 4.835
La Cu C I
4 1 1 2
Direct
0.500 0.260 0.188
0.500 0.740 0.812
0.000 0.303 0.820
0.000 0.697 0.180
0.000 0.000 0.000
0.500 0.500 0.000
0.500 0.000 0.500
0.000 0.500 0.500
```

***

# 4
A plane-wave DFT calculation with PBE was carried out for an optimized crystal structure of CuCIN2.

Values from the calculation:
* E_form (uncorrected): 216.81 kJ/mol of atoms
* M_tot: 0.0 μB/cell

The structure in POSCAR format:
```
CuCIN2
1.0
-2.794 -1.695 0.951
1.936 -2.280 1.624
-0.370 4.038 6.111
I C Cu N
1 1 1 2
Direct
0.000 0.000 0.500
0.000 0.000 0.000
0.500 0.500 0.500
0.000 0.500 0.000
0.500 0.000 0.000
```

***

# 5
A plane-wave DFT calculation with PBE was carried out for an optimized crystal structure of CuCIN2.

Values from the calculation:
* E_form (uncorrected): 235.66 kJ/mol of atoms
* M_tot: 2.5 μB/cell

The structure in POSCAR format:
```
CuCIN2
1.0
-2.333 -1.033 -2.503
2.697 -0.586 -2.272
0.562 -7.691 2.650
I C Cu N
1 1 1 2
Direct
0.000 0.000 0.500
0.500 0.500 0.500
0.000 0.000 0.000
0.000 0.500 0.000
0.500 0.000 0.000
```

***

# 6
A plane-wave DFT calculation with PBE was carried out for an optimized crystal structure of CuCI2N.

Values from the calculation:
* E_form (uncorrected): 196.28 kJ/mol of atoms
* M_tot: 2.9 μB/cell

The structure in POSCAR format:
```
CuCI2N
1.0
-5.354 -1.170 -0.269
0.301 -0.115 -5.477
0.776 -3.577 0.118
I C Cu N
2 1 1 1
Direct
0.000 0.500 0.000
0.500 0.000 0.000
0.500 0.500 0.500
0.000 0.000 0.000
0.000 0.000 0.500
```

***

# 7
A plane-wave DFT calculation with PBE was carried out for an optimized crystal structure of CuCI2N.

Values from the calculation:
* E_form (uncorrected): 105.19 kJ/mol of atoms
* M_tot: 0.2 μB/cell

The structure in POSCAR format:
```
CuCI2N
1.0
-3.393 -2.304 6.051
0.327 -6.884 -2.437
2.312 -0.308 1.180
I C Cu N
2 1 1 1
Direct
0.000 0.500 0.000
0.500 0.000 0.000
0.000 0.000 0.000
0.500 0.500 0.500
0.000 0.000 0.500
```

***

# 8
A plane-wave DFT calculation with PBE was carried out for an optimized crystal structure of Nd4CuCI2.

Values from the calculation:
* E_form (uncorrected): -53.43 kJ/mol of atoms
* M_tot: 0.0 μB/cell

The structure in POSCAR format:
```
Nd4CuCI2
1.0
-0.970 -2.004 -3.321
2.775 -6.072 2.854
-7.799 0.180 2.170
Nd Cu C I
4 1 1 2
Direct
0.500 0.255 0.185
0.500 0.745 0.815
0.000 0.302 0.822
0.000 0.698 0.178
0.000 0.000 0.000
0.500 0.500 0.000
0.500 0.000 0.500
0.000 0.500 0.500
```

***

# 9
A plane-wave DFT calculation with PBE was carried out for an optimized crystal structure of CuNi2CI.

Values from the calculation:
* E_form (uncorrected): 200.70 kJ/mol of atoms
* M_tot: 0.0 μB/cell

The structure in POSCAR format:
```
CuNi2CI
1.0
-2.241 -1.661 -3.699
2.537 -3.375 -0.021
-2.948 -2.234 2.789
I Ni C Cu
1 2 1 1
Direct
0.000 0.000 0.000
0.000 0.000 0.500
0.500 0.000 0.000
0.000 0.500 0.000
0.500 0.500 0.500
```

***

# 10
A plane-wave DFT calculation with PBE was carried out for an optimized crystal structure of CuCI2O.

Values from the calculation:
* E_form (uncorrected): 105.48 kJ/mol of atoms
* M_tot: 0.0 μB/cell

The structure in POSCAR format:
```
CuCI2O
1.0
5.916 0.000 0.000
0.000 5.916 0.000
0.000 0.000 3.002
I C O Cu
2 1 1 1
Direct
0.000 0.500 0.000
0.500 0.000 0.000
0.000 0.000 0.000
0.000 0.000 0.500
0.500 0.500 0.500
```

***

# 11
A plane-wave DFT calculation with PBE was carried out for an optimized crystal structure of CuCI2O.

Values from the calculation:
* E_form (uncorrected): 137.26 kJ/mol of atoms
* M_tot: 0.9 μB/cell

The structure in POSCAR format:
```
CuCI2O
1.0
5.431 0.000 0.000
0.000 5.431 0.000
0.000 0.000 3.598
I C O Cu
2 1 1 1
Direct
0.000 0.500 0.000
0.500 0.000 0.000
0.500 0.500 0.500
0.000 0.000 0.500
0.000 0.000 0.000
```

***

# 12
A plane-wave DFT calculation with PBE was carried out for an optimized crystal structure of CuP2CI.

Values from the calculation:
* E_form (uncorrected): 185.75 kJ/mol of atoms
* M_tot: 0.3 μB/cell

The structure in POSCAR format:
```
CuP2CI
1.0
4.192 0.000 0.000
0.000 4.192 0.000
0.000 0.000 8.253
I P C Cu
1 2 1 1
Direct
0.000 0.000 0.500
0.000 0.500 0.000
0.500 0.000 0.000
0.500 0.500 0.500
0.000 0.000 0.000
```

***

no.,uncorrected energy (eV per atom)
1,-2.61
2,-3.13
3,-5.12
4,-4.06
5,-3.86
6,-2.91
7,-3.86
8,-4.99
9,-3.21
10,-3.18
11,-2.85
12,-3.21